Computed, not measured: a relaxed structure of Sm6GeC2Cl3 at the PBE level of DFT.

Lattice parameters (Å, degrees): 9.2339 9.2339 8.3697 107.06 107.06 24.16
Fractional coordinates of all 12 atoms:
Sm  0.0255  0.0255  0.2585
Sm  0.3180  0.3180  0.4439
Sm  0.3321  0.3321  0.8602
Sm  0.6679  0.6679  0.1398
Sm  0.6819  0.6819  0.5561
Sm  0.9745  0.9745  0.7415
Ge  0.5000  0.5000  0.0000
C  0.1705  0.1705  0.3398
C  0.8295  0.8295  0.6602
Cl  0.1663  0.1663  0.8311
Cl  0.5000  0.5000  0.5000
Cl  0.8337  0.8337  0.1689

## Properties
Formation energy from raw total energies in eV/atom: -1.085
E in eV/atom: -5.8286